No. 1
A geometry-optimized TeAs structure, computed with GGA-PBE.

Calculated values
Formation energy (no corrections) ... 186 meV per atom
Magnetic moment ... 0.00 Bohr magnetons per cell

Cell: 15.7488 3.9091 6.0011 Å, 90.00 90.00 90.00°
Positions (direct):
Te (0.0000, 0.0218, 0.0000)
Te (0.1859, 0.2270, 0.5803)
Te (0.3141, 0.7730, 0.0803)
Te (0.5000, 0.9782, 0.5000)
Te (0.6859, 0.7730, 0.0803)
Te (0.8141, 0.2270, 0.5803)
As (0.0000, 0.5193, 0.6958)
As (0.1895, 0.2772, 0.0711)
As (0.3105, 0.7228, 0.5711)
As (0.5000, 0.4807, 0.1958)
As (0.6895, 0.7228, 0.5711)
As (0.8105, 0.2772, 0.0711)

***

No. 2
A geometry-optimized Pd structure, computed with GGA-PBE.

Calculated values
Energy above the lowest structure with this stoichiometry ... 0.022 eV/atom
Magnetic moment ... 1.01 Bohr magnetons per cell

Cell: 7.0899 7.0899 7.0899 Å, 22.65 22.65 22.65°
Positions (direct):
Pd (0.0000, 0.0000, 0.0000)
Pd (0.2225, 0.2225, 0.2225)
Pd (0.7775, 0.7775, 0.7775)

***

No. 3
A geometry-optimized LiPuInO5 structure, computed with GGA-PBE.

Calculated values
Formation energy (no corrections) ... -2033 meV per atom
Magnetic moment ... 4.00 Bohr magnetons per cell

Cell: 6.2975 6.2975 7.3567 Å, 100.37 100.37 115.15°
Positions (direct):
Li (0.0339, 0.9661, 0.7500)
Li (0.9661, 0.0339, 0.2500)
Pu (0.0000, 0.5000, 0.0000)
Pu (0.5000, 0.0000, 0.5000)
In (0.4816, 0.5184, 0.7500)
In (0.5184, 0.4816, 0.2500)
O (0.1167, 0.7766, 0.9192)
O (0.2234, 0.8833, 0.5808)
O (0.2271, 0.3431, 0.8769)
O (0.3192, 0.6808, 0.2500)
O (0.3431, 0.2271, 0.3769)
O (0.6569, 0.7729, 0.6231)
O (0.6808, 0.3192, 0.7500)
O (0.7729, 0.6569, 0.1231)
O (0.7766, 0.1167, 0.4192)
O (0.8833, 0.2234, 0.0808)

***

No. 4
A geometry-optimized BaAcBiTe structure, computed with GGA-PBE.

Calculated values
Energy above the lowest structure with this stoichiometry ... 0.220 eV/atom
Formation energy (no corrections) ... -1128 meV per atom
Magnetic moment ... 0.00 Bohr magnetons per cell

Cell: 5.9592 5.9592 5.9592 Å, 60.00 60.00 60.00°
Positions (direct):
Ba (0.0000, 0.0000, 0.0000)
Ac (0.5000, 0.5000, 0.5000)
Bi (0.7500, 0.7500, 0.7500)
Te (0.2500, 0.2500, 0.2500)

***

No. 5
A geometry-optimized BaTlRh2 structure, computed with GGA-PBE.

Calculated values
Magnetic moment ... 0.00 Bohr magnetons per cell

Cell: 4.9858 4.9858 4.9858 Å, 60.00 60.00 60.00°
Positions (direct):
Ba (0.0000, 0.0000, 0.0000)
Tl (0.5000, 0.5000, 0.5000)
Rh (0.2500, 0.2500, 0.2500)
Rh (0.7500, 0.7500, 0.7500)

***

No. 6
A geometry-optimized ErPu2Pb structure, computed with GGA-PBE.

Calculated values
Energy above the lowest structure with this stoichiometry ... 0.000 eV/atom
Magnetic moment ... 12.61 Bohr magnetons per cell

Cell: 4.5772 4.5772 5.1877 Å, 90.00 90.00 90.00°
Positions (direct):
Er (0.0000, 0.0000, 0.0000)
Pu (0.0000, 0.5000, 0.5000)
Pu (0.5000, 0.0000, 0.5000)
Pb (0.5000, 0.5000, 0.0000)

***

Listing total DFT energy (no corrections) for the structures above in their given order: -3.710; -5.171; -7.505; -4.391; -4.627; -9.396 eV/atom.
Listing D(E_F) for the structures above in their given order: 3.6; 5.5; 4.7; 0.8; 2.4; 9.9 states/eV/cell.